Material: NaCoPO2
Method: DFT, PBE+U
State: optimized geometry

a = 3.9526 Å, b = 3.9526 Å, c = 4.2772 Å
α = 90.00°, β = 90.00°, γ = 90.00°
Atoms (fractional coordinates):
Na 0.0000 0.0000 0.0000
Co 0.5000 0.5000 0.5000
P 0.5000 0.5000 0.0000
O 0.0000 0.5000 0.5000
O 0.5000 0.0000 0.5000

Results
SG: P4/mmm (123)
Size of the total moment (μB/f.u.): 1.8
Distance to the lowest polymorph of the same formula (kJ/mol of formula units): 0